(1)
Be2PtW | PBE-GGA | optimized geometry

```
data_Be2PtW
_chemical_formula_sum 'Be4 Pt2 W2'
_cell_length_a 7.1436
_cell_length_b 2.6941
_cell_length_c 5.2309
_cell_angle_alpha 90.00
_cell_angle_beta 98.15
_cell_angle_gamma 90.00
_symmetry_space_group_name_H-M 'C 1 2/m 1'
_symmetry_Int_Tables_number 12
loop_
_symmetry_equiv_pos_as_xyz
'x,y,z'
'-x,-y,-z'
'-x,y,-z'
'x,-y,z'
'x+1/2,y+1/2,z'
'-x+1/2,-y+1/2,-z'
'-x+1/2,y+1/2,-z'
'x+1/2,-y+1/2,z'
loop_
_atom_site_label
_atom_site_fract_x
_atom_site_fract_y
_atom_site_fract_z
Be1 0.2447 0.0000 0.2227
Pt1 0.0000 0.5000 0.0000
W1 0.0000 0.0000 0.5000
```

Its energy relative to the elements is -0.025 eV per atom. The mass density is 13.23 g/cm3. The value obtained for the size of the total moment is 0.000 μB/f.u. The calculation puts the energy relative to the lowest polymorph listed for this composition at 266 meV per atom. As for the crystal system: monoclinic. The density of states at the Fermi level comes out at 3.52 states/eV/cell.


(2)
KTa2PO | PBE-GGA | optimized geometry

```
data_KTa2PO
_chemical_formula_sum 'K1 Ta2 P1 O1'
_cell_length_a 4.7110
_cell_length_b 4.7110
_cell_length_c 4.7490
_cell_angle_alpha 90.00
_cell_angle_beta 90.00
_cell_angle_gamma 90.00
_symmetry_space_group_name_H-M 'P 4/m m m'
_symmetry_Int_Tables_number 123
_symmetry_space_group_name_Hall '-P 4 2'
loop_
_atom_site_label
_atom_site_fract_x
_atom_site_fract_y
_atom_site_fract_z
K1 0.0000 0.0000 0.0000
Ta1 0.0000 0.5000 0.0000
P1 0.0000 0.0000 0.5000
O1 0.5000 0.5000 0.5000
```

As for the raw formation energy: 3.2884 eV per atom. The mass density is 7.06 g/cm3. The value obtained for the size of the total moment is 0.003 μB/f.u. As for the crystal system: tetragonal. The density of states at the Fermi level comes out at 6.79 states/eV/cell.


Number 1: volume 12.5 Å³ per atom. Number 2: volume 21.1 Å³ per atom.